## YMnAsBr2 (GGA-PBE)

Data for a relaxed YMnAsBr2 crystal.

Calculated values
E_form (uncorrected)   -0.346 eV/atom
Final energy   -5.072 eV/atom
N(E_F)   1.826 states/eV per cell
Relative energy among the computed polymorphs   0 meV/atom

Unit cell a=4.922 b=4.922 c=5.243 alpha=90.00 beta=90.00 gamma=90.00
Each line ends with the local moment (μB).
Atoms (fractional coordinates):
Mn 0.000 0.000 0.000  3.88
Br 0.500 0.000 0.000  0.06
Br 0.000 0.500 0.000  0.06
Y 0.500 0.500 0.500  0.02
As 0.000 0.000 0.500  0.01